1.
Material: Tb4TlN
Method: DFT, GGA-PBE
State: optimized geometry

abc: 5.718 7.158 8.356
angles: 106.33 109.94 90.04
Fractional positions:
Tb  0.353  0.577  0.772
Tb  0.176  0.199  0.384
Tb  0.824  0.801  0.616
Tb  0.208  0.700  0.384
Tb  0.418  0.077  0.772
Tb  0.647  0.423  0.228
Tb  0.582  0.923  0.228
Tb  0.792  0.300  0.616
Tl  0.033  0.250  0.000
Tl  0.967  0.750  0.000
N  0.500  0.000  0.500
N  0.000  0.500  0.500

- crystal system = triclinic
- uncorrected formation energy (eV per atom) = -0.61
- symmetry = No. 2

2.
Material: Be2Hg2Sb
Method: DFT, GGA-PBE
State: optimized geometry

abc: 3.918 3.918 6.691
angles: 72.97 72.97 90.00
Fractional positions:
Hg  0.626  0.626  0.748
Hg  0.374  0.374  0.252
Be  0.750  0.250  0.500
Be  0.250  0.750  0.500
Sb  0.000  0.000  0.000

- crystal system = tetragonal
- uncorrected formation energy (eV per atom) = 0.46
- symmetry = No. 139
- distance to the lowest polymorph of the same formula (eV per atom) = 0.000

3.
Material: ZrIn2Tc
Method: DFT, GGA-PBE
State: optimized geometry

abc: 4.662 3.124 5.563
angles: 82.18 90.00 90.00
Fractional positions:
Zr  0.500  0.689  0.751
Tc  0.000  0.537  0.492
In  0.000  0.102  0.979
In  0.500  0.172  0.278

- crystal system = monoclinic
- symmetry = No. 6
- distance to the lowest polymorph of the same formula (eV per atom) = 0.124
- E_form (eV per atom) = 0.066

4.
Material: TeBr
Method: DFT, GGA-PBE
State: optimized geometry

abc: 3.817 8.856 14.201
angles: 90.00 90.00 90.00
Fractional positions:
Te  0.500  0.269  0.000
Te  0.000  0.512  0.826
Te  0.000  0.512  0.174
Te  0.500  0.488  0.674
Te  0.000  0.731  0.500
Te  0.500  0.488  0.326
Br  0.000  0.673  0.000
Br  0.500  0.079  0.134
Br  0.000  0.921  0.366
Br  0.500  0.079  0.866
Br  0.000  0.921  0.634
Br  0.500  0.327  0.500

- crystal system = orthorhombic
- uncorrected formation energy (eV per atom) = -0.03
- symmetry = No. 59

5.
Material: LiZnPt2
Method: DFT, GGA-PBE
State: optimized geometry

abc: 4.572 4.572 4.823
angles: 79.64 79.64 35.84
Fractional positions:
Pt  0.004  0.004  0.000
Pt  0.496  0.496  0.500
Zn  0.750  0.750  0.750
Li  0.250  0.250  0.250

- crystal system = monoclinic
- symmetry = No. 12
- E_form (eV per atom) = -0.522

6.
Material: Ag3HgSb
Method: DFT, GGA-PBE
State: optimized geometry

abc: 5.963 8.622 8.514
angles: 74.69 90.00 90.00
Fractional positions:
Ag  0.997  0.802  0.797
Ag  0.497  0.198  0.203
Ag  0.997  0.802  0.297
Ag  0.003  0.198  0.203
Ag  0.750  0.365  0.409
Ag  0.503  0.802  0.297
Ag  0.503  0.802  0.797
Ag  0.497  0.198  0.703
Ag  0.250  0.635  0.091
Ag  0.250  0.635  0.591
Ag  0.003  0.198  0.703
Ag  0.750  0.365  0.909
Sb  0.250  0.394  0.905
Sb  0.750  0.606  0.095
Sb  0.250  0.394  0.405
Sb  0.750  0.606  0.595
Hg  0.250  0.993  0.501
Hg  0.750  0.007  0.499
Hg  0.250  0.993  0.001
Hg  0.750  0.007  0.999

- crystal system = monoclinic
- uncorrected formation energy (eV per atom) = 0.10
- symmetry = No. 11
- distance to the lowest polymorph of the same formula (eV per atom) = 0.000

7.
Material: Li5Tl2Ag2Pd
Method: DFT, GGA-PBE
State: optimized geometry

abc: 3.375 10.442 10.442
angles: 90.00 90.00 90.00
Fractional positions:
Tl  0.000  0.333  0.833
Tl  0.000  0.833  0.667
Tl  0.000  0.667  0.167
Tl  0.000  0.167  0.333
Ag  0.000  0.635  0.865
Ag  0.000  0.365  0.135
Ag  0.000  0.135  0.635
Ag  0.000  0.865  0.365
Pd  0.000  0.000  0.000
Pd  0.000  0.500  0.500
Li  0.500  0.182  0.061
Li  0.500  0.318  0.561
Li  0.500  0.818  0.939
Li  0.500  0.000  0.500
Li  0.500  0.561  0.682
Li  0.500  0.939  0.182
Li  0.500  0.500  0.000
Li  0.500  0.061  0.818
Li  0.500  0.682  0.439
Li  0.500  0.439  0.318

- crystal system = tetragonal
- symmetry = No. 127
- E_form (eV per atom) = -0.176

8.
Material: CaAl2SiN4
Method: DFT, GGA-PBE
State: optimized geometry

abc: 5.132 5.401 6.738
angles: 90.00 90.00 90.00
Fractional positions:
N  0.343  0.245  0.000
N  0.363  0.656  0.296
N  0.843  0.755  0.500
N  0.952  0.863  0.000
N  0.363  0.656  0.704
N  0.863  0.344  0.204
N  0.452  0.137  0.500
N  0.863  0.344  0.796
Si  0.502  0.806  0.500
Si  0.002  0.194  0.000
Al  0.999  0.664  0.751
Al  0.499  0.336  0.251
Al  0.999  0.664  0.249
Al  0.499  0.336  0.749
Ca  0.479  0.830  0.000
Ca  0.979  0.170  0.500

- crystal system = orthorhombic
- uncorrected formation energy (eV per atom) = -1.26
- symmetry = No. 31

9.
Material: SmCoSn2
Method: DFT, GGA-PBE
State: optimized geometry

abc: 4.507 7.313 10.996
angles: 90.00 90.00 90.00
Fractional positions:
Sm  0.750  0.706  0.360
Sm  0.250  0.794  0.860
Sm  0.750  0.206  0.140
Sm  0.250  0.294  0.640
Co  0.750  0.469  0.862
Co  0.250  0.031  0.362
Co  0.750  0.969  0.638
Co  0.250  0.531  0.138
Sn  0.250  0.385  0.340
Sn  0.750  0.648  0.059
Sn  0.750  0.115  0.840
Sn  0.250  0.852  0.559
Sn  0.750  0.615  0.660
Sn  0.250  0.885  0.160
Sn  0.250  0.352  0.941
Sn  0.750  0.148  0.441

- crystal system = orthorhombic
- symmetry = No. 62
- E_form (eV per atom) = -0.437

10.
Material: Zn2PRh
Method: DFT, GGA-PBE
State: optimized geometry

abc: 3.307 3.303 5.272
angles: 90.00 90.00 90.00
Fractional positions:
P  0.000  0.000  0.536
Rh  0.500  0.500  0.721
Zn  0.500  0.500  0.236
Zn  0.000  0.000  0.006

- crystal system = tetragonal
- symmetry = No. 99
- E_form (eV per atom) = -0.160

11.
Material: Ho4MgAl12
Method: DFT, GGA-PBE
State: optimized geometry

abc: 7.599 7.599 7.599
angles: 109.47 109.47 109.47
Fractional positions:
Al  0.250  0.500  0.750
Al  0.314  0.000  0.314
Al  0.000  0.314  0.314
Al  0.750  0.500  0.250
Al  0.500  0.750  0.250
Al  0.686  0.686  0.000
Al  0.686  0.000  0.686
Al  0.250  0.750  0.500
Al  0.314  0.314  0.000
Al  0.750  0.250  0.500
Al  0.500  0.250  0.750
Al  0.000  0.686  0.686
Ho  0.000  0.000  0.500
Ho  0.000  0.500  0.000
Ho  0.500  0.000  0.000
Ho  0.500  0.500  0.500
Mg  0.000  0.000  0.000

- crystal system = cubic
- symmetry = No. 229
- E_form (eV per atom) = -0.351

| no. | total magnetization (μB/f.u.) |
| --- | --- |
| 1 | 0.0 |
| 2 | 0.0 |
| 3 | 0.4 |
| 4 | 0.0 |
| 5 | 0.0 |
| 6 | 0.0 |
| 7 | 0.0 |
| 8 | 0.0 |
| 9 | 0.0 |
| 10 | 0.0 |
| 11 | 0.0 |